A crystal of RbAg7S4 relaxed with PBEsol. Source: Alexandria via LeMat-Bulk, functional meta-GGA SCAN.

The space group is P4/n (No. 85, origin choice 2) and the conventional cell measures 10.801, 10.801 and 8.284 Å, with angles of 90.00, 90.00 and 90.00 degrees. The distinct sites, in fractional coordinates, are Rb at (0.250, 0.250, 0.121), Rb at (0.250, 0.250, 0.621), Ag at (0.000, 0.000, 0.000), Ag at (0.024, 0.962, 0.660), Ag at (0.109, 0.791, 0.383), Ag at (0.114, 0.770, 0.878), S at (0.001, 0.697, 0.133) and S at (0.003, 0.301, 0.374).

As for the magnetization: 0.00 μB per cell. The value obtained for the formation energy without anion corrections is -0.289 eV/atom. The total energy comes out at -23.52 eV/atom.

A crystal of LiMgAg2 relaxed with PBEsol. Source: Alexandria via LeMat-Bulk, functional meta-GGA SCAN.

The space group is Cm (No. 8) and the conventional cell measures 9.651, 3.022 and 4.742 Å, with angles of 90.00, 103.20 and 90.00 degrees. The distinct sites, in fractional coordinates, are Li at (0.000, 0.000, 0.000), Mg at (0.268, 0.500, 0.311), Ag at (0.014, 0.500, 0.520) and Ag at (0.257, 0.000, 0.807).

Its calculated formation energy is -0.206 eV per atom. As for the magnetization: 0.00 μB per cell. The total energy comes out at -17.73 eV/atom.

A crystal of BeRe2Sb relaxed with PBEsol. Source: Alexandria via LeMat-Bulk, functional meta-GGA SCAN.

The space group is Cm (No. 8) and the conventional cell measures 8.742, 3.062 and 4.652 Å, with angles of 90.00, 107.42 and 90.00 degrees. The distinct sites, in fractional coordinates, are Be at (0.000, 0.000, 0.000), Re at (0.018, 0.500, 0.591), Re at (0.271, 0.000, 0.892) and Sb at (0.254, 0.500, 0.349).

As for the magnetization: 0.00 μB per cell. The value obtained for the formation energy without anion corrections is 0.455 eV/atom. The total energy comes out at -45.50 eV/atom. As for the energy above the most stable polymorph in this dataset: 0 kJ/mol of formula units.